{"formula": "Nd8AsP6", "functional": "PBE-GGA", "state": "relaxed", "mass_density_g_cm3": 5.7, "m_tot_mub_per_fu": 0.00, "delta_e_f_ev_per_atom": -1.176, "dos_at_fermi_per_ev_cell": 9.01, "lattice": [[10.5815, 0.0000, 0.0000], [-5.2907, 9.1638, 0.0000], [0.0000, 0.0000, 4.2724]], "species": ["Nd", "Nd", "Nd", "Nd", "Nd", "Nd", "Nd", "Nd", "As", "P", "P", "P", "P", "P", "P"], "frac_coords": [[0.0336, 0.3374, 0.2578], [0.3038, 0.9664, 0.2578], [0.3333, 0.6667, 0.7486], [0.3374, 0.3038, 0.7422], [0.6626, 0.6962, 0.2578], [0.6667, 0.3333, 0.2514], [0.6962, 0.0336, 0.7422], [0.9664, 0.6626, 0.7422], [0.0000, 0.0000, 0.5000], [0.1334, 0.6557, 0.2441], [0.3443, 0.4777, 0.2441], [0.4777, 0.1334, 0.7559], [0.5223, 0.8666, 0.2441], [0.6557, 0.5223, 0.7559], [0.8666, 0.3443, 0.7559]]}